DFT (PBE) results for crystalline AgAs2P at its relaxed geometry.

Geometry as CIF:
```
data_AgAs2P
_space_group_name_H-M_alt 'I -4 m 2'
_space_group_IT_number 119
_space_group_name_Hall 'I -4 -2'
_cell_length_a 4.871
_cell_length_b 4.871
_cell_length_c 6.184
_cell_angle_alpha 90.00
_cell_angle_beta 90.00
_cell_angle_gamma 90.00
loop_
_atom_site_label
_atom_site_fract_x
_atom_site_fract_y
_atom_site_fract_z
Ag1 0.000 0.000 0.000
As1 0.000 0.000 0.500
As2 0.000 0.500 0.250
P1 0.000 0.500 0.750
```

## Properties
N(E_F) in states/eV per atom: 0.545
V in A^3/atom: 18.34
Energy of formation in eV/atom: 0.520
Magnetization in μB/atom: 0.00


DFT (PBE) results for crystalline AgAs2P at its relaxed geometry.

Geometry as CIF:
```
data_AgAs2P
_space_group_name_H-M_alt 'C m m m'
_space_group_IT_number 65
_space_group_name_Hall '-C 2 2'
_cell_length_a 3.203
_cell_length_b 4.760
_cell_length_c 9.454
_cell_angle_alpha 90.00
_cell_angle_beta 90.00
_cell_angle_gamma 90.00
loop_
_atom_site_label
_atom_site_fract_x
_atom_site_fract_y
_atom_site_fract_z
Ag1 0.000 0.000 0.000
As1 0.000 0.500 0.265
P1 0.000 0.000 0.500
```

## Properties
N(E_F) in states/eV per atom: 0.433
V in A^3/atom: 18.02
Energy of formation in eV/atom: 0.473
Magnetization in μB/atom: 0.00


DFT (PBE) results for crystalline AgAsP2 at its relaxed geometry.

Geometry as CIF:
```
data_AgAsP2
_space_group_name_H-M_alt 'P 4/m m m'
_space_group_IT_number 123
_space_group_name_Hall '-P 4 2'
_cell_length_a 5.156
_cell_length_b 5.156
_cell_length_c 2.687
_cell_angle_alpha 90.00
_cell_angle_beta 90.00
_cell_angle_gamma 90.00
loop_
_atom_site_label
_atom_site_fract_x
_atom_site_fract_y
_atom_site_fract_z
Ag1 0.000 0.000 0.000
As1 0.500 0.500 0.000
P1 0.000 0.500 0.000
```

## Properties
N(E_F) in states/eV per atom: 0.239
V in A^3/atom: 17.86
Energy of formation in eV/atom: 0.288
Magnetization in μB/atom: 0.00


DFT (PBE) results for crystalline AgAs2P at its relaxed geometry.

Geometry as CIF:
```
data_AgAs2P
_space_group_name_H-M_alt 'P 1 m 1'
_space_group_IT_number 6
_space_group_name_Hall 'P -2y'
_cell_length_a 2.787
_cell_length_b 5.101
_cell_length_c 5.328
_cell_angle_alpha 90.00
_cell_angle_beta 90.00
_cell_angle_gamma 90.00
loop_
_atom_site_label
_atom_site_fract_x
_atom_site_fract_y
_atom_site_fract_z
Ag1 0.000 0.000 0.000
As1 0.498 0.000 0.514
As2 0.499 0.500 0.040
P1 0.499 0.500 0.479
```

## Properties
N(E_F) in states/eV per atom: 0.240
V in A^3/atom: 18.93
Energy of formation in eV/atom: 0.195
Magnetization in μB/atom: 0.00


DFT (PBE) results for crystalline AgAs3P at its relaxed geometry.

Geometry as CIF:
```
data_AgAs3P
_space_group_name_H-M_alt 'P m -3 m'
_space_group_IT_number 221
_space_group_name_Hall '-P 4 2 3'
_cell_length_a 4.956
_cell_length_b 4.956
_cell_length_c 4.956
_cell_angle_alpha 90.00
_cell_angle_beta 90.00
_cell_angle_gamma 90.00
loop_
_atom_site_label
_atom_site_fract_x
_atom_site_fract_y
_atom_site_fract_z
Ag1 0.000 0.000 0.000
As1 0.000 0.000 0.500
P1 0.500 0.500 0.500
```

## Properties
N(E_F) in states/eV per atom: 1.207
V in A^3/atom: 24.34
Energy of formation in eV/atom: 1.248
Magnetization in μB/atom: 0.00
Energy relative to the lowest polymorph listed for this composition in kJ/mol of formula units: 246


DFT (PBE) results for crystalline AgAs2P at its relaxed geometry.

Geometry as CIF:
```
data_AgAs2P
_space_group_name_H-M_alt 'P m m 2'
_space_group_IT_number 25
_space_group_name_Hall 'P 2 -2'
_cell_length_a 3.563
_cell_length_b 3.949
_cell_length_c 5.546
_cell_angle_alpha 90.00
_cell_angle_beta 90.00
_cell_angle_gamma 90.00
loop_
_atom_site_label
_atom_site_fract_x
_atom_site_fract_y
_atom_site_fract_z
Ag1 0.000 0.000 0.000
As1 0.000 0.000 0.492
As2 0.500 0.500 0.956
P1 0.500 0.500 0.535
```

## Properties
N(E_F) in states/eV per atom: 0.312
V in A^3/atom: 19.50
Energy of formation in eV/atom: 0.204
Magnetization in μB/atom: 0.00


DFT (PBE) results for crystalline Ag3AsP at its relaxed geometry.

Geometry as CIF:
```
data_Ag3AsP
_space_group_name_H-M_alt 'P m -3 m'
_space_group_IT_number 221
_space_group_name_Hall '-P 4 2 3'
_cell_length_a 4.782
_cell_length_b 4.782
_cell_length_c 4.782
_cell_angle_alpha 90.00
_cell_angle_beta 90.00
_cell_angle_gamma 90.00
loop_
_atom_site_label
_atom_site_fract_x
_atom_site_fract_y
_atom_site_fract_z
Ag1 0.000 0.000 0.500
As1 0.500 0.500 0.500
P1 0.000 0.000 0.000
```

## Properties
N(E_F) in states/eV per atom: 0.643
V in A^3/atom: 21.87
Energy of formation in eV/atom: 0.534
Magnetization in μB/atom: 0.19
Energy relative to the lowest polymorph listed for this composition in kJ/mol of formula units: 0


DFT (PBE) results for crystalline PaAgAsP at its relaxed geometry.

Geometry as CIF:
```
data_PaAgAsP
_space_group_name_H-M_alt 'F -4 3 m'
_space_group_IT_number 216
_space_group_name_Hall 'F -4 2 3'
_cell_length_a 6.795
_cell_length_b 6.795
_cell_length_c 6.795
_cell_angle_alpha 90.00
_cell_angle_beta 90.00
_cell_angle_gamma 90.00
loop_
_atom_site_label
_atom_site_fract_x
_atom_site_fract_y
_atom_site_fract_z
Pa1 0.000 0.000 0.000
Ag1 0.000 0.000 0.500
As1 0.250 0.250 0.250
P1 0.250 0.250 0.750
```

## Properties
N(E_F) in states/eV per atom: 0.281
V in A^3/atom: 19.60
Energy of formation in eV/atom: -0.448
Magnetization in μB/atom: 0.00